(1)
This record from Alexandria via LeMat-Bulk describes an optimized crystal structure of KTiAgS2. The functional is PBE-GGA.

Properties
formation energy without anion corrections	-10	kJ/mol of atoms
SG	P4/mmm (123)

Unit cell a=4.648 b=7.990 c=4.648 alpha=90.00 beta=90.00 gamma=90.00
Fractional positions:
1 Ag 0.500 0.500 0.500
2 K 0.000 0.500 0.000
3 S 0.500 0.000 0.000
4 S 0.000 0.000 0.500
5 Ti 0.000 0.000 0.000

---

(2)
This record from Alexandria via LeMat-Bulk describes an optimized crystal structure of TlInGe2Cl8. The functional is PBE-GGA.

Properties
formation energy without anion corrections	-88	kJ/mol of atoms
SG	P-1 (2)

Unit cell a=6.546 b=6.779 c=8.994 alpha=82.98 beta=87.69 gamma=87.48
Fractional positions:
1 Cl 0.674 0.770 0.028
2 Cl 0.174 0.767 0.223
3 Cl 0.858 0.210 0.182
4 Cl 0.379 0.262 0.569
5 Cl 0.826 0.233 0.777
6 Cl 0.621 0.738 0.431
7 Cl 0.142 0.790 0.818
8 Cl 0.326 0.230 0.972
9 Ge 0.488 0.424 0.760
10 Ge 0.512 0.576 0.240
11 Tl 0.000 0.000 0.500
12 In 0.000 0.000 0.000

---

(3)
This record from Alexandria via LeMat-Bulk describes an optimized crystal structure of LaThTi2O8. The functional is PBE-GGA.

Properties
formation energy without anion corrections	-306	kJ/mol of atoms
SG	I-4 (82)

Unit cell a=5.309 b=5.309 c=6.929 alpha=112.53 beta=112.53 gamma=90.00
Fractional positions:
1 O 0.675 0.260 0.840
2 O 0.165 0.581 0.840
3 O 0.083 0.984 0.671
4 O 0.313 0.917 0.329
5 O 0.419 0.325 0.160
6 O 0.740 0.835 0.160
7 O 0.589 0.687 0.671
8 O 0.016 0.411 0.329
9 La 0.750 0.250 0.500
10 Ti 0.500 0.500 0.000
11 Ti 0.250 0.750 0.500
12 Th 0.000 0.000 0.000

---

Total DFT energy (no corrections), respectively: -4.12 -3.33 -8.82 eV/atom.
N(E_F), respectively: 1.35 0.00 0.64 states/eV per atom.